[1]
First-principles (PBE) data for a relaxed HoCN crystal, as listed in Alexandria.

Cell and atoms, written as POSCAR:
```
HoCN
1.0
6.629 0.000 0.000
0.000 3.387 0.000
0.000 0.000 5.963
Ho C N
4 4 4
Direct
0.190 0.250 0.157 Ho
0.310 0.750 0.657 Ho
0.690 0.250 0.343 Ho
0.810 0.750 0.843 Ho
0.029 0.250 0.550 C
0.471 0.750 0.050 C
0.529 0.250 0.950 C
0.971 0.750 0.450 C
0.066 0.250 0.785 N
0.434 0.750 0.285 N
0.566 0.250 0.715 N
0.934 0.750 0.215 N
```

Results
Formation energy without anion corrections in eV per formula unit: -1.712
SG: Pnma (62)
Energy above the most stable polymorph in this dataset in eV/atom: 0.000
V in Å³/f.u.: 33.5
Total magnetization in μB/cell: 0.00

***

[2]
First-principles (PBE) data for a relaxed Pm4Te2AsPb crystal, as listed in Alexandria.

Cell and atoms, written as POSCAR:
```
Pm4Te2AsPb
1.0
7.681 0.000 0.000
0.000 4.428 0.000
-2.549 0.000 7.288
Pm Te As Pb
4 2 1 1
Direct
0.234 0.000 0.228 Pm
0.245 0.500 0.763 Pm
0.755 0.500 0.237 Pm
0.766 0.000 0.772 Pm
0.000 0.000 0.500 Te
0.500 0.500 0.500 Te
0.000 0.500 0.000 As
0.500 0.000 0.000 Pb
```

Results
Formation energy without anion corrections in eV per formula unit: -10.155
SG: P2/m (10)
V in Å³/f.u.: 247.9
Total magnetization in μB/cell: 0.00

***

[3]
First-principles (PBE) data for a relaxed V3ZnS crystal, as listed in Alexandria.

Cell and atoms, written as POSCAR:
```
V3ZnS
1.0
4.297 0.000 0.000
0.000 4.297 0.000
0.000 0.000 4.297
V Zn S
3 1 1
Direct
0.000 0.000 0.500 V
0.000 0.500 0.000 V
0.500 0.000 0.000 V
0.500 0.500 0.500 Zn
0.000 0.000 0.000 S
```

Results
Formation energy without anion corrections in eV per formula unit: 0.508
SG: Pm-3m (221)
Energy above the most stable polymorph in this dataset in eV/atom: 0.000
V in Å³/f.u.: 79.3
Total magnetization in μB/cell: 3.27

***

[4]
First-principles (PBE) data for a relaxed PrNd3Ni8 crystal, as listed in Alexandria.

Cell and atoms, written as POSCAR:
```
PrNd3Ni8
1.0
2.590 1.495 8.470
-2.590 1.495 8.470
0.000 -2.990 8.470
Pr Nd Ni
1 3 8
Direct
0.000 0.000 0.000 Pr
0.125 0.125 0.125 Nd
0.500 0.500 0.500 Nd
0.625 0.625 0.625 Nd
0.062 0.062 0.562 Ni
0.062 0.562 0.062 Ni
0.063 0.563 0.563 Ni
0.312 0.312 0.312 Ni
0.562 0.062 0.062 Ni
0.563 0.063 0.563 Ni
0.563 0.563 0.063 Ni
0.812 0.812 0.812 Ni
```

Results
Energy relative to the elements in eV/atom: -0.302
SG: R3m (160)
V in Å³/f.u.: 196.8
Total magnetization in μB/cell: 0.00

***

[5]
First-principles (PBE) data for a relaxed RbPdPtBr6 crystal, as listed in Alexandria.

Cell and atoms, written as POSCAR:
```
RbPdPtBr6
1.0
6.770 0.000 0.000
-2.208 6.431 0.000
-0.941 -1.613 7.161
Rb Pd Pt Br
1 1 1 6
Direct
0.000 0.000 0.000 Rb
0.827 0.166 0.500 Pd
0.489 0.509 0.501 Pt
0.194 0.522 0.272 Br
0.200 0.235 0.641 Br
0.475 0.811 0.734 Br
0.517 0.195 0.283 Br
0.767 0.791 0.360 Br
0.794 0.481 0.717 Br
```

Results
Formation energy without anion corrections in eV per formula unit: -4.783
SG: P1 (1)
V in Å³/f.u.: 311.8
Total magnetization in μB/cell: 0.00

***

[6]
First-principles (PBE) data for a relaxed PmNpTl2O8 crystal, as listed in Alexandria.

Cell and atoms, written as POSCAR:
```
PmNpTl2O8
1.0
5.253 0.000 0.000
0.000 6.942 0.000
-0.197 0.000 5.259
Pm Np Tl O
1 1 2 8
Direct
0.000 0.000 0.000 Pm
0.000 0.500 0.000 Np
0.500 0.249 0.500 Tl
0.500 0.751 0.500 Tl
0.172 0.287 0.827 O
0.172 0.713 0.827 O
0.297 0.500 0.296 O
0.311 0.000 0.309 O
0.689 0.000 0.691 O
0.703 0.500 0.704 O
0.828 0.287 0.173 O
0.828 0.713 0.173 O
```

Results
Formation energy without anion corrections in eV per formula unit: -22.841
SG: P2/m (10)
V in Å³/f.u.: 191.8
Total magnetization in μB/cell: 0.06